[1]
RbTlGe2O6, optimized geometry, DFT PBE; formation energy (no corrections) = -1370 meV/atom
1.0
-2.843 3.810 -2.783
2.071 -2.131 -7.340
-6.984 -3.723 -0.270
Tl Ge O Rb
2 4 12 2
direct
0.250 0.277 0.723 Tl
0.750 0.723 0.277 Tl
0.711 0.210 0.373 Ge
0.211 0.373 0.210 Ge
0.289 0.790 0.627 Ge
0.789 0.627 0.790 Ge
0.496 0.629 0.709 O
0.004 0.291 0.371 O
0.262 0.251 0.013 O
0.738 0.749 0.987 O
0.504 0.371 0.291 O
0.891 0.406 0.802 O
0.609 0.198 0.594 O
0.762 0.013 0.251 O
0.238 0.987 0.749 O
0.996 0.709 0.629 O
0.391 0.802 0.406 O
0.109 0.594 0.198 O
0.250 0.906 0.094 Rb
0.750 0.094 0.906 Rb



[2]
Rb2TmGe2O6, optimized geometry, DFT PBE; DOS at the Fermi energy = 1.582 states/eV per cell; formation energy (no corrections) = -2039 meV/atom
1.0
-1.588 1.963 -5.513
-2.448 -5.080 2.231
-2.310 5.957 2.786
O Rb Ge Tm
6 2 2 1
direct
0.748 0.984 0.723 O
0.764 0.016 0.277 O
0.236 0.984 0.723 O
0.256 0.511 0.287 O
0.252 0.016 0.277 O
0.744 0.489 0.713 O
0.284 0.567 0.847 Rb
0.716 0.433 0.153 Rb
0.072 0.144 0.221 Ge
0.928 0.856 0.779 Ge
0.500 0.000 0.500 Tm



[3]
Rb2TmGeO4, optimized geometry, DFT PBE; DOS at the Fermi energy = 1.281 states/eV per cell; formation energy (no corrections) = -1993 meV/atom
1.0
-5.168 3.075 -1.610
0.200 -3.587 5.083
4.986 2.973 2.244
O Ge Rb Tm
4 1 2 1
direct
0.873 0.488 0.153 O
0.665 0.385 0.512 O
0.127 0.280 0.615 O
0.335 0.847 0.721 O
0.000 0.500 0.500 Ge
0.500 0.750 0.250 Rb
0.000 0.000 0.000 Rb
0.500 0.250 0.750 Tm



[4]
RbUGeO5, optimized geometry, DFT PBE; DOS at the Fermi energy = 1.479 states/eV per cell; formation energy (no corrections) = -2426 meV/atom
1.0
6.220 0.080 -0.096
-1.740 5.973 -0.096
-1.979 -2.674 7.378
Rb Ge O U
2 2 10 2
direct
0.667 0.333 0.750 Rb
0.333 0.667 0.250 Rb
0.689 0.311 0.250 Ge
0.311 0.689 0.750 Ge
0.873 0.283 0.114 O
0.717 0.127 0.386 O
0.223 0.382 0.611 O
0.056 0.944 0.250 O
0.777 0.618 0.389 O
0.618 0.777 0.889 O
0.944 0.056 0.750 O
0.283 0.873 0.614 O
0.382 0.223 0.111 O
0.127 0.717 0.886 O
0.000 0.000 0.000 U
0.000 0.000 0.500 U



[5]
RbUGeO6, optimized geometry, DFT PBE; DOS at the Fermi energy = 6.525 states/eV per cell; formation energy (no corrections) = -2056 meV/atom
1.0
-1.676 3.748 -3.452
-4.777 2.339 0.692
2.745 4.542 3.599
O Ge U Rb
6 1 1 1
direct
0.612 0.021 0.330 O
0.021 0.367 0.330 O
0.612 0.367 0.670 O
0.367 0.021 0.670 O
0.367 0.612 0.330 O
0.021 0.612 0.670 O
0.333 0.333 0.500 Ge
0.667 0.667 0.500 U
0.000 0.000 0.000 Rb



[6]
RbUGe2O8, optimized geometry, DFT PBE; DOS at the Fermi energy = 7.229 states/eV per cell; formation energy (no corrections) = -1924 meV/atom
1.0
5.771 0.000 0.000
2.886 4.998 0.000
2.886 1.666 8.335
U O Rb Ge
1 8 1 2
direct
0.500 0.500 0.500 U
0.620 0.114 0.645 O
0.689 0.689 0.934 O
0.886 0.380 0.355 O
0.311 0.311 0.066 O
0.380 0.380 0.355 O
0.114 0.620 0.645 O
0.620 0.620 0.645 O
0.380 0.886 0.355 O
0.000 0.000 0.000 Rb
0.242 0.242 0.275 Ge
0.758 0.758 0.725 Ge



[7]
Rb2UGe3O12, optimized geometry, DFT PBE; DOS at the Fermi energy = 9.357 states/eV per cell; formation energy (no corrections) = -1615 meV/atom
1.0
7.432 0.271 0.192
3.906 6.329 0.192
3.906 2.273 5.909
Ge O Rb U
3 12 2 1
direct
0.500 0.000 0.000 Ge
0.000 0.500 0.000 Ge
0.000 0.000 0.500 Ge
0.681 0.681 0.076 O
0.666 0.069 0.069 O
0.924 0.319 0.319 O
0.069 0.069 0.666 O
0.681 0.076 0.681 O
0.319 0.319 0.924 O
0.069 0.666 0.069 O
0.334 0.931 0.931 O
0.319 0.924 0.319 O
0.076 0.681 0.681 O
0.931 0.931 0.334 O
0.931 0.334 0.931 O
0.616 0.616 0.616 Rb
0.384 0.384 0.384 Rb
0.000 0.000 0.000 U